1.
DFT (PBE-GGA) results for crystalline LaPH2 at its relaxed geometry.

## Properties
As for the density: 5.4 g/cm3. The calculation puts the total energy at -4.7000 eV per atom. The size of the total moment is 0.0 μB per cell.

Lattice parameters (Å, degrees): 4.222 4.222 4.222 60.00 60.00 60.00
Fractional coordinates of all 4 atoms:
La: 0.000 0.000 0.000
P: 0.500 0.500 0.500
H: 0.250 0.250 0.250
H: 0.750 0.750 0.750

***

2.
DFT (PBE-GGA) results for crystalline Mg4ScSi at its relaxed geometry.

## Properties
As for the density: 2.1 g/cm3. The calculation puts the total energy at -2.7729 eV per atom. The size of the total moment is 0.0 μB per cell.

Lattice parameters (Å, degrees): 5.716 5.716 5.716 60.00 60.00 60.00
Fractional coordinates of all 6 atoms:
Mg: 0.125 0.125 0.125
Mg: 0.125 0.125 0.625
Mg: 0.125 0.625 0.125
Mg: 0.625 0.125 0.125
Sc: 0.750 0.750 0.750
Si: 0.500 0.500 0.500

***

3.
DFT (PBE-GGA) results for crystalline MgAg3W at its relaxed geometry.

## Properties
As for the density: 8.9 g/cm3. The calculation puts the total energy at -3.0866 eV per atom. The size of the total moment is 0.0 μB per cell.

Lattice parameters (Å, degrees): 4.632 4.632 4.632 90.00 90.00 90.00
Fractional coordinates of all 5 atoms:
Mg: 0.000 0.000 0.000
Ag: 0.000 0.000 0.500
Ag: 0.000 0.500 0.000
Ag: 0.500 0.000 0.000
W: 0.500 0.500 0.500

***

Which value of size of the total moment does entry 1 give? 0.0 μB per cell

***

Look up the size of the total moment of the third one. 0.0 μB per cell

***

density of number 2 (Mg4ScSi)? 2.1 g/cm3

***

Number 3 is which compound? MgAg3W